Density functional theory data (PBE) for a relaxed YRu2 crystal.

The structure belongs to space group Immm (No. 71); the cell edges are 2.9696, 3.7536 and 10.0340 Å and the angles 90.00°, 90.00° and 90.00°. The inequivalent atoms are Y at (0.0000, 0.0000, 0.0000) and Ru at (0.0000, 0.0000, 0.2969).

As for the crystal system: orthorhombic. The value obtained for the energy relative to the elements is 70 meV per atom. For the total magnetization, the calculation gives 0.00 μB/atom.